A.
This record from the Open Quantum Materials Database describes an optimized crystal structure of Cu3Ag5. The functional is PBE.

abc: 2.858 3.764 11.709
angles: 90.00 90.00 90.00
Positions (direct):
1 Ag 0.000 0.000 0.638
2 Ag 0.500 0.500 0.775
3 Ag 0.000 0.000 0.362
4 Ag 0.500 0.500 0.225
5 Ag 0.500 0.500 0.500
6 Cu 0.000 0.000 0.105
7 Cu 0.500 0.500 0.000
8 Cu 0.000 0.000 0.895



B.
This record from the Open Quantum Materials Database describes an optimized crystal structure of Cu3Ag5. The functional is PBE.

abc: 5.667 10.046 10.172
angles: 110.57 98.22 106.20
Positions (direct):
1 Cu 0.603 0.741 0.997
2 Cu 0.807 0.384 0.510
3 Cu 0.006 0.001 0.998
4 Cu 0.227 0.562 0.753
5 Cu 0.715 0.560 0.738
6 Cu 0.334 0.384 0.510
7 Cu 0.085 0.802 0.746
8 Cu 0.374 0.253 0.003
9 Cu 0.528 0.930 0.241
10 Cu 0.691 0.618 0.512
11 Cu 0.646 0.692 0.239
12 Cu 0.259 0.506 0.000
13 Ag 0.049 0.859 0.494
14 Ag 0.562 0.862 0.493
15 Ag 0.784 0.451 0.260
16 Ag 0.346 0.321 0.752
17 Ag 0.300 0.451 0.256
18 Ag 0.888 0.257 0.005
19 Ag 0.500 0.998 0.002
20 Ag 0.911 0.198 0.260
21 Ag 0.110 0.742 0.980
22 Ag 0.008 0.929 0.233
23 Ag 0.936 0.127 0.499
24 Ag 0.469 0.060 0.751
25 Ag 0.606 0.803 0.760
26 Ag 0.163 0.690 0.240
27 Ag 0.404 0.189 0.249
28 Ag 0.853 0.328 0.753
29 Ag 0.188 0.616 0.514
30 Ag 0.735 0.505 0.002
31 Ag 0.435 0.123 0.493
32 Ag 0.978 0.059 0.757



C.
This record from the Open Quantum Materials Database describes an optimized crystal structure of Cu3Ag5. The functional is PBE.

abc: 4.906 4.906 9.623
angles: 101.60 101.60 33.80
Positions (direct):
1 Ag 0.500 0.500 0.500
2 Ag 0.995 0.995 0.752
3 Ag 0.247 0.247 0.129
4 Ag 0.753 0.753 0.871
5 Ag 0.005 0.005 0.248
6 Cu 0.249 0.249 0.614
7 Cu 0.751 0.751 0.386
8 Cu 0.500 0.500 0.000



D.
This record from the Open Quantum Materials Database describes an optimized crystal structure of Cu3Ag5. The functional is PBE.

abc: 2.869 7.014 7.014
angles: 63.03 90.00 90.00
Positions (direct):
1 Ag 0.000 0.715 0.271
2 Ag 0.500 0.125 0.125
3 Ag 0.000 0.271 0.715
4 Ag 0.500 0.876 0.876
5 Ag 0.500 0.646 0.646
6 Cu 0.000 0.493 0.019
7 Cu 0.000 0.019 0.493
8 Cu 0.500 0.355 0.355



The relative energies come out as A 0; B 13; C 21; D 8, with values in meV per atom.



A.
This record from the Open Quantum Materials Database describes an optimized crystal structure of Cu3Ag5. The functional is PBE.

abc: 3.825 6.424 6.424
angles: 52.90 90.00 90.00
Positions (direct):
1 Cu 0.500 0.369 0.369
2 Cu 0.000 0.019 0.491
3 Cu 0.000 0.491 0.019
4 Ag 0.000 0.249 0.741
5 Ag 0.500 0.629 0.629
6 Ag 0.500 0.135 0.135
7 Ag 0.500 0.866 0.866
8 Ag 0.000 0.741 0.249



B.
This record from the Open Quantum Materials Database describes an optimized crystal structure of Cu3Ag5. The functional is PBE.

abc: 4.024 4.024 7.750
angles: 90.00 90.00 90.00
Positions (direct):
1 Ag 0.500 0.500 0.769
2 Ag 0.000 0.000 0.228
3 Ag 0.000 0.500 0.509
4 Ag 0.500 0.000 0.509
5 Ag 0.500 0.500 0.229
6 Cu 0.000 0.000 0.775
7 Cu 0.500 0.000 0.990
8 Cu 0.000 0.500 0.990



The relative energies come out as A 16; B 0, with values in meV per atom.



A.
This record from the Open Quantum Materials Database describes an optimized crystal structure of Cu3Ag5. The functional is PBE.

abc: 5.656 5.656 3.949
angles: 90.00 90.00 91.88
Positions (direct):
1 Cu 0.245 0.755 0.000
2 Cu 0.755 0.245 0.000
3 Cu 0.000 0.000 0.500
4 Ag 0.238 0.238 0.000
5 Ag 0.500 0.500 0.500
6 Ag 0.762 0.762 0.000
7 Ag 0.500 0.000 0.500
8 Ag 0.000 0.500 0.500



B.
This record from the Open Quantum Materials Database describes an optimized crystal structure of Cu3Ag5. The functional is PBE.

abc: 9.246 9.246 4.932
angles: 95.06 95.06 17.57
Positions (direct):
1 Ag 0.500 0.500 0.000
2 Ag 0.131 0.131 0.875
3 Ag 0.373 0.373 0.621
4 Ag 0.869 0.869 0.125
5 Ag 0.627 0.627 0.379
6 Cu 0.000 0.000 0.500
7 Cu 0.751 0.751 0.747
8 Cu 0.249 0.249 0.253



C.
This record from the Open Quantum Materials Database describes an optimized crystal structure of Cu3Ag5. The functional is PBE.

abc: 6.942 2.829 6.958
angles: 90.00 114.15 90.00
Positions (direct):
1 Ag 0.395 0.000 0.137
2 Ag 0.204 0.500 0.713
3 Ag 0.605 0.000 0.863
4 Ag 0.000 0.500 0.000
5 Ag 0.796 0.500 0.287
6 Cu 0.162 0.000 0.370
7 Cu 0.838 0.000 0.630
8 Cu 0.500 0.500 0.500



D.
This record from the Open Quantum Materials Database describes an optimized crystal structure of Cu3Ag5. The functional is PBE.

abc: 2.862 7.628 5.774
angles: 90.00 90.00 90.00
Positions (direct):
1 Ag 0.000 0.000 0.225
2 Ag 0.000 0.500 0.243
3 Ag 0.500 0.764 0.511
4 Ag 0.000 0.500 0.762
5 Ag 0.500 0.236 0.511
6 Cu 0.500 0.242 0.989
7 Cu 0.000 0.000 0.768
8 Cu 0.500 0.758 0.989



The relative energies come out as A 18; B 28; C 0; D 11, with values in meV per atom.



A.
This record from the Open Quantum Materials Database describes an optimized crystal structure of Cu8Ag. The functional is PBE.

abc: 6.874 6.874 6.874
angles: 38.36 38.36 38.36
Positions (direct):
1 Cu 0.833 0.833 0.833
2 Cu 0.273 0.613 0.953
3 Cu 0.387 0.047 0.727
4 Cu 0.047 0.727 0.387
5 Cu 0.727 0.387 0.047
6 Cu 0.953 0.273 0.613
7 Cu 0.613 0.953 0.273
8 Cu 0.167 0.167 0.167
9 Ag 0.500 0.500 0.500



B.
This record from the Open Quantum Materials Database describes an optimized crystal structure of Cu8Ag. The functional is PBE.

abc: 4.511 4.511 7.820
angles: 106.98 106.98 48.10
Positions (direct):
1 Ag 0.000 0.000 0.000
2 Cu 0.003 0.003 0.341
3 Cu 0.997 0.997 0.659
4 Cu 0.666 0.666 0.554
5 Cu 0.675 0.675 0.234
6 Cu 0.664 0.664 0.878
7 Cu 0.325 0.325 0.766
8 Cu 0.336 0.336 0.122
9 Cu 0.334 0.334 0.446



The relative energies come out as A 5; B 0, with values in meV per atom.



A.
This record from the Open Quantum Materials Database describes an optimized crystal structure of Cu8Ag. The functional is PBE.

abc: 4.511 4.511 6.368
angles: 90.00 90.00 120.00
Positions (direct):
1 Ag 0.000 0.000 0.500
2 Cu 0.000 0.661 0.839
3 Cu 0.339 0.000 0.161
4 Cu 0.667 0.333 0.500
5 Cu 0.339 0.339 0.839
6 Cu 0.333 0.667 0.500
7 Cu 0.661 0.661 0.161
8 Cu 0.000 0.339 0.161
9 Cu 0.661 0.000 0.839



B.
This record from the Open Quantum Materials Database describes an optimized crystal structure of Cu8Ag. The functional is PBE.

abc: 12.179 12.179 12.179
angles: 167.54 163.22 20.95
Positions (direct):
1 Cu 0.223 0.223 0.000
2 Cu 0.435 0.435 0.000
3 Cu 0.777 0.777 0.000
4 Cu 0.670 0.670 0.000
5 Cu 0.117 0.117 0.000
6 Cu 0.330 0.330 0.000
7 Cu 0.565 0.565 0.000
8 Cu 0.883 0.883 0.000
9 Ag 0.000 0.000 0.000



C.
This record from the Open Quantum Materials Database describes an optimized crystal structure of Cu8Ag. The functional is PBE.

abc: 2.623 2.623 18.943
angles: 90.00 90.00 120.00
Positions (direct):
1 Ag 0.000 0.000 0.000
2 Cu 0.667 0.333 0.770
3 Cu 0.333 0.667 0.230
4 Cu 0.000 0.000 0.662
5 Cu 0.333 0.667 0.877
6 Cu 0.000 0.000 0.338
7 Cu 0.667 0.333 0.446
8 Cu 0.667 0.333 0.123
9 Cu 0.333 0.667 0.554



The relative energies come out as A 11; B 0; C 20, with values in meV per atom.



A.
This record from the Open Quantum Materials Database describes an optimized crystal structure of Cu8Ag. The functional is PBE.

abc: 5.764 5.764 7.896
angles: 103.22 103.22 26.22
Positions (direct):
1 Cu 0.329 0.329 0.765
2 Cu 0.665 0.665 0.553
3 Cu 0.001 0.001 0.662
4 Cu 0.674 0.674 0.883
5 Cu 0.999 0.999 0.338
6 Cu 0.335 0.335 0.447
7 Cu 0.671 0.671 0.235
8 Cu 0.326 0.326 0.117
9 Ag 0.000 0.000 0.000



B.
This record from the Open Quantum Materials Database describes an optimized crystal structure of Cu8Ag. The functional is PBE.

abc: 16.315 16.315 16.315
angles: 170.73 170.73 13.13
Positions (direct):
1 Cu 0.277 0.277 0.000
2 Cu 0.830 0.830 0.000
3 Cu 0.170 0.170 0.000
4 Cu 0.937 0.937 0.000
5 Cu 0.617 0.617 0.000
6 Cu 0.723 0.723 0.000
7 Cu 0.383 0.383 0.000
8 Cu 0.063 0.063 0.000
9 Ag 0.500 0.500 0.000



The relative energies come out as A 8; B 0, with values in meV per atom.



A.
This record from the Open Quantum Materials Database describes an optimized crystal structure of Cu8Ag. The functional is PBE.

abc: 6.812 6.812 7.622
angles: 122.99 122.99 22.47
Positions (direct):
1 Cu 0.059 0.059 0.350
2 Cu 0.611 0.611 0.671
3 Cu 0.827 0.827 0.998
4 Cu 0.726 0.726 0.338
5 Cu 0.941 0.941 0.650
6 Cu 0.389 0.389 0.329
7 Cu 0.173 0.173 0.002
8 Cu 0.274 0.274 0.662
9 Ag 0.500 0.500 0.000



B.
This record from the Open Quantum Materials Database describes an optimized crystal structure of Cu8Ag. The functional is PBE.

abc: 5.822 5.822 5.822
angles: 95.70 95.70 143.27
Positions (direct):
1 Cu 0.000 0.661 0.661
2 Cu 0.000 0.339 0.339
3 Cu 0.327 0.673 0.000
4 Cu 0.673 0.327 0.000
5 Cu 0.673 0.673 0.345
6 Cu 0.661 0.000 0.661
7 Cu 0.339 0.000 0.339
8 Cu 0.327 0.327 0.655
9 Ag 0.000 0.000 0.000



The relative energies come out as A 7; B 0, with values in meV per atom.



A.
This record from the Open Quantum Materials Database describes an optimized crystal structure of Cu8Ag. The functional is PBE.

abc: 6.840 6.840 6.840
angles: 157.74 110.22 74.27
Positions (direct):
1 Cu 0.840 0.500 0.340
2 Cu 0.833 0.833 0.000
3 Cu 0.500 0.172 0.328
4 Cu 0.167 0.167 0.000
5 Cu 0.160 0.500 0.660
6 Cu 0.500 0.828 0.672
7 Cu 0.156 0.828 0.328
8 Cu 0.844 0.172 0.672
9 Ag 0.500 0.500 0.000



B.
This record from the Open Quantum Materials Database describes an optimized crystal structure of Cu8Ag. The functional is PBE.

abc: 5.820 5.820 5.820
angles: 107.35 107.35 36.88
Positions (direct):
1 Ag 0.500 0.500 0.000
2 Cu 0.057 0.057 0.344
3 Cu 0.274 0.274 0.661
4 Cu 0.828 0.828 0.000
5 Cu 0.943 0.943 0.656
6 Cu 0.613 0.613 0.661
7 Cu 0.726 0.726 0.339
8 Cu 0.387 0.387 0.339
9 Cu 0.172 0.172 0.000



The relative energies come out as A 7; B 0, with values in meV per atom.



A.
This record from the Open Quantum Materials Database describes an optimized crystal structure of Cu2Ag5. The functional is PBE.

abc: 4.938 4.938 8.372
angles: 94.23 94.23 33.85
Positions (direct):
1 Ag 0.280 0.280 0.651
2 Ag 0.862 0.862 0.935
3 Ag 0.000 0.000 0.500
4 Ag 0.720 0.720 0.349
5 Ag 0.138 0.138 0.065
6 Cu 0.431 0.431 0.215
7 Cu 0.569 0.569 0.785



B.
This record from the Open Quantum Materials Database describes an optimized crystal structure of Cu2Ag5. The functional is PBE.

abc: 16.250 16.250 16.250
angles: 10.09 10.09 10.09
Positions (direct):
1 Cu 0.853 0.853 0.853
2 Cu 0.147 0.147 0.147
3 Ag 0.717 0.717 0.717
4 Ag 0.283 0.283 0.283
5 Ag 0.565 0.565 0.565
6 Ag 0.000 0.000 0.000
7 Ag 0.435 0.435 0.435



The relative energies come out as A 15; B 0, with values in meV per atom.